## Sr2ZnRe (GGA-PBE)

Data for crystalline Sr2ZnRe at its relaxed geometry.

Properties
energy relative to the elements = 540 meV/atom
N(E_F) = 1.1063 states/eV per atom

```
Sr2ZnRe
1.0
4.446 0.000 0.000
0.000 4.635 -0.008
0.000 2.328 5.694
Re Sr Zn
1 2 1
Cartesian
2.223 4.353 4.136
0.000 6.672 5.175
2.223 2.032 1.933
0.000 4.351 2.970
```



## BaDyHo4S8 (GGA-PBE)

Data for crystalline BaDyHo4S8 at its relaxed geometry.

Properties
formation energy (no corrections) = -1.963 eV per atom
N(E_F) = 0.2376 states/eV per atom

```
BaDyHo4S8
1.0
-5.531 5.745 -1.933
-7.962 -1.941 -0.403
-5.197 2.783 5.727
Ba Dy Ho S
1 1 4 8
Cartesian
-9.608 3.864 4.144
-5.193 2.775 5.691
-9.082 2.725 -0.746
-6.556 0.447 2.671
-5.357 4.235 1.918
-2.632 1.404 2.870
-11.487 1.807 3.409
-10.097 6.203 2.535
-6.933 2.918 3.640
-4.711 1.731 1.208
-7.348 4.619 -0.077
-8.631 0.566 0.730
-11.547 3.595 -0.290
-14.002 4.908 2.404
```



## CaNiCl2 (GGA-PBE)

Data for crystalline CaNiCl2 at its relaxed geometry.

Properties
formation energy (no corrections) = -0.963 eV per atom
offset from the most stable computed form = 0.874 eV/f.u.
N(E_F) = 0.3899 states/eV per atom

```
CaNiCl2
1.0
-0.371 -5.601 5.028
4.183 -5.604 2.807
-1.128 7.156 -2.074
Ni Ca Cl
1 1 2
Cartesian
1.813 -5.330 3.727
2.748 -2.810 2.874
3.707 -10.897 7.619
0.134 -1.819 3.292
```



## LaGa3Au3 (GGA-PBE)

Data for crystalline LaGa3Au3 at its relaxed geometry.

Properties
energy relative to the elements = -242 meV/atom
offset from the most stable computed form = 1.237 eV/f.u.
N(E_F) = 0.6377 states/eV per atom

```
LaGa3Au3
1.0
7.036 0.000 0.000
0.000 7.036 0.000
0.000 0.000 7.036
Au Ga La
6 6 2
Cartesian
1.759 0.000 3.518
0.000 3.518 1.759
3.518 5.277 0.000
5.277 0.000 3.518
0.000 3.518 5.277
3.518 1.759 0.000
0.000 1.759 3.518
0.000 5.277 3.518
3.518 0.000 5.277
5.277 3.518 0.000
3.518 0.000 1.759
1.759 3.518 0.000
3.518 3.518 3.518
0.000 0.000 0.000
```



## LaSm2Ga3 (GGA-PBE)

Data for crystalline LaSm2Ga3 at its relaxed geometry.

Properties
energy relative to the elements = -573 meV/atom
N(E_F) = 0.5390 states/eV per atom

```
LaSm2Ga3
1.0
-1.996 2.560 -1.729
0.398 -1.827 -3.166
-9.280 -5.774 2.165
La Sm Ga
1 2 3
Cartesian
-5.439 -2.521 -1.365
-8.568 -4.467 -0.635
-2.309 -0.574 -2.095
0.000 0.000 0.000
-6.290 -3.913 1.467
-2.990 -1.860 0.697
```



## Tm4InBi (GGA-PBE)

Data for crystalline Tm4InBi at its relaxed geometry.

Properties
energy relative to the elements = -211 meV/atom
N(E_F) = 1.2264 states/eV per atom

```
Tm4InBi
1.0
-3.101 -3.839 -2.600
-1.201 -2.818 5.594
-7.048 8.032 2.533
Tm In Bi
8 2 2
Cartesian
-8.190 1.617 1.399
-3.334 -0.649 4.936
-8.482 3.009 5.675
-3.043 -2.042 0.661
-5.821 -0.983 2.411
-5.101 3.363 1.120
-5.222 0.423 -0.379
-5.703 1.950 3.923
-3.869 -3.291 3.490
-7.656 4.258 2.845
-8.555 0.040 4.162
-2.969 0.927 2.173
```



## Ac6TbCd5 (GGA-PBE)

Data for crystalline Ac6TbCd5 at its relaxed geometry.

Properties
energy relative to the elements = -207 meV/atom
N(E_F) = 1.1889 states/eV per atom

```
Ac6TbCd5
1.0
5.631 0.002 -1.172
-0.004 8.241 -0.001
-1.026 0.000 9.143
Ac Tb Cd
6 1 5
Cartesian
3.996 6.180 5.052
3.998 2.066 5.053
2.815 2.185 -0.586
2.813 6.058 -0.587
0.604 6.178 2.918
0.605 2.064 2.918
0.000 0.000 0.000
3.401 4.122 2.276
1.238 0.001 5.905
-0.002 4.121 0.000
3.363 8.243 2.065
1.201 4.122 5.695
```



## Li2BrCl (GGA-PBE)

Data for crystalline Li2BrCl at its relaxed geometry.

Properties
formation energy (no corrections) = -0.843 eV per atom
offset from the most stable computed form = 3.354 eV/f.u.
N(E_F) = 0.0000 states/eV per atom

```
Li2BrCl
1.0
-0.543 -4.640 -1.875
4.031 -2.557 -1.599
1.655 -3.977 2.605
Br Cl Li
1 1 2
Cartesian
2.571 -5.587 -0.434
3.857 -8.380 -0.652
0.000 0.000 0.000
1.286 -2.793 -0.217
```



## Y8Er2In (GGA-PBE)

Data for crystalline Y8Er2In at its relaxed geometry.

Properties
energy relative to the elements = 61 meV/atom
offset from the most stable computed form = 0.000 eV/f.u.
N(E_F) = 1.7397 states/eV per atom

```
Y8Er2In
1.0
5.328 -0.112 0.072
0.137 9.039 4.711
-0.073 1.526 8.105
Y Er In
8 2 1
Cartesian
2.740 6.657 5.524
2.744 9.811 10.499
5.418 5.906 3.208
0.066 7.506 7.587
5.326 2.890 5.271
-0.027 4.491 9.649
2.647 0.585 2.359
2.651 3.739 7.334
2.698 3.718 3.754
2.693 6.678 9.104
0.136 9.011 4.697
```



## Cu5H8Cl2O10 (GGA-PBE)

Data for crystalline Cu5H8Cl2O10 at its relaxed geometry.

Properties
N(E_F) = 0.2079 states/eV per atom
E_tot = -4.731 eV/atom

```
Cu5H8Cl2O10
1.0
6.173 -0.474 -0.042
-2.714 5.888 -0.040
-2.764 -1.974 8.326
Cu H Cl O
5 8 2 10
Cartesian
2.244 -1.177 5.435
-1.550 4.617 2.810
0.000 0.000 0.000
-1.357 2.944 -0.020
3.087 -0.237 -0.021
2.663 1.063 6.064
0.952 2.947 5.942
-1.968 2.378 2.181
-0.257 0.494 2.303
3.792 0.223 3.547
-3.098 3.217 4.698
1.967 1.627 4.290
-1.272 1.814 3.955
-0.349 -0.529 7.061
1.043 3.970 1.184
2.857 0.205 6.548
0.151 3.272 6.455
-2.162 3.235 1.696
0.544 0.168 1.790
1.894 -0.068 4.021
-1.199 3.509 4.223
4.711 0.630 0.292
-4.017 2.810 7.952
-1.518 1.093 3.314
2.212 2.348 4.930
```



## Tl8Ga (GGA-PBE)

Data for crystalline Tl8Ga at its relaxed geometry.

Properties
energy relative to the elements = 185 meV/atom
offset from the most stable computed form = 1.299 eV/f.u.
N(E_F) = 0.3383 states/eV per atom

```
Tl8Ga
1.0
3.278 0.000 0.854
1.639 11.193 0.427
-1.183 0.000 11.258
Tl Ga
8 1
Cartesian
0.603 0.000 4.402
1.491 0.000 7.710
1.118 9.127 2.426
3.278 7.085 0.854
0.977 9.127 9.686
1.639 4.107 0.427
-0.662 2.066 9.259
2.757 2.066 2.853
0.000 0.000 0.000
```



## PdW4 (GGA-PBE)

Data for crystalline PdW4 at its relaxed geometry.

Properties
energy relative to the elements = 2519 meV/atom
N(E_F) = 1.5549 states/eV per atom

```
PdW4
1.0
-0.531 3.590 -2.907
-4.259 -1.514 -1.092
-1.789 2.538 3.461
W Pd
4 1
Cartesian
0.000 0.000 0.000
-1.160 3.064 0.277
-3.024 0.512 1.185
-2.395 1.038 -2.000
-3.289 2.307 -0.269
```